*one*
Material: Sr2Mg2Zn
Method: DFT, PBE
State: optimized geometry

Cell lengths 11.7780, 7.0574, 8.0888 Å; angles 90.00, 108.93, 90.00 degrees
With the nearest neighbours (Å) after each atom.
Space group C2/c (No. 15)
Symmetry-distinct sites (fractional):
Sr1 0.1629 0.0880 0.1439  2 Zn 3.44-3.54, 5 Mg 3.54-3.64
Mg1 0.0930 0.3849 0.4578  2 Zn 2.86-2.99, 1 Mg 2.98
Zn1 0.0000 0.2875 0.7500  4 Mg 2.86-2.99

*two*
Material: Sr2Mg2Zn
Method: DFT, PBE
State: optimized geometry

Cell lengths 7.8302, 7.8302, 5.3958 Å; angles 90.00, 90.00, 90.00 degrees
With the nearest neighbours (Å) after each atom.
Space group P4/mbm (No. 127)
Symmetry-distinct sites (fractional):
Sr1 0.1758 0.3242 0.0000  6 Mg 3.41-3.65
Mg1 0.1365 0.6365 0.5000  1 Mg 3.02, 2 Zn 3.04
Zn1 0.0000 0.0000 0.5000  4 Mg 3.04

What are the relative energies? In eV/atom: *one* 0.000; *two* 0.137.